(1)
# SrTaCl

A geometry-optimized SrTaCl structure (GGA-PBE, the Alexandria database).

Cell lengths 5.4490, 5.4490, 5.4490 Å; angles 60.00, 60.00, 60.00 degrees
Element x y z (fractional)
Sr 0.0000 0.0000 0.0000
Ta 0.7500 0.7500 0.7500
Cl 0.2500 0.2500 0.2500

Size of the total moment ... 4.00 μB/cell
Space-group type ... F-43m, No. 216

=====

(2)
# RbScSi

A geometry-optimized RbScSi structure (GGA-PBE, the Alexandria database).

Cell lengths 5.2025, 5.2025, 9.8498 Å; angles 91.89, 91.89, 75.96 degrees
Element x y z (fractional)
Rb 0.2403 0.2403 0.3151
Rb 0.7597 0.7597 0.6849
Sc 0.2900 0.2900 0.9527
Sc 0.7100 0.7100 0.0473
Si 0.1883 0.8117 0.0000
Si 0.8117 0.1883 0.0000

Size of the total moment ... 0.27 μB/cell
Space-group type ... C2/m, No. 12

=====

These records have energy relative to the lowest polymorph listed for this composition values of 1020 179 meV/atom, in the order they appear.
These records have uncorrected energy values of -4.00 -4.31 eV/atom, in the order they appear.